Record 1
# K3Nd3AlSe8 | the Alexandria database | PBE | relaxed
data_K3Nd3AlSe8
_cell_length_a 14.576
_cell_length_b 8.405
_cell_length_c 9.285
_cell_angle_alpha 90.00
_cell_angle_beta 121.57
_cell_angle_gamma 90.00
_symmetry_space_group_name_H-M 'C 1 2/m 1'
_symmetry_Int_Tables_number 12
loop_
_symmetry_equiv_pos_as_xyz
'x,y,z'
'-x,-y,-z'
'-x,y,-z'
'x,-y,z'
'x+1/2,y+1/2,z'
'-x+1/2,-y+1/2,-z'
'-x+1/2,y+1/2,-z'
'x+1/2,-y+1/2,z'
loop_
_atom_site_label
_atom_site_fract_x
_atom_site_fract_y
_atom_site_fract_z
_atom_site_occupancy
K1 0.000 0.000 0.000 1
K2 0.250 0.250 0.000 1
Nd1 0.000 0.500 0.500 1
Nd2 0.250 0.250 0.500 1
Al1 0.000 0.000 0.500 1
Se1 0.011 0.224 0.308 1
Se2 0.214 0.000 0.692 1
Se3 0.238 0.500 0.713 1
# DFT total energy: -141.44 eV per cell
# N(E_F): 26.32 states/eV/cell
# E_form (uncorrected): -21.50 eV/f.u.
# crystal system: monoclinic


Record 2
# Ce3SiTe2 | the Alexandria database | PBE | relaxed
data_Ce3SiTe2
_cell_length_a 7.606
_cell_length_b 13.175
_cell_length_c 7.668
_cell_angle_alpha 90.00
_cell_angle_beta 109.37
_cell_angle_gamma 90.00
_symmetry_space_group_name_H-M 'C 1 2/m 1'
_symmetry_Int_Tables_number 12
loop_
_symmetry_equiv_pos_as_xyz
'x,y,z'
'-x,-y,-z'
'-x,y,-z'
'x,-y,z'
'x+1/2,y+1/2,z'
'-x+1/2,-y+1/2,-z'
'-x+1/2,y+1/2,-z'
'x+1/2,-y+1/2,z'
loop_
_atom_site_label
_atom_site_fract_x
_atom_site_fract_y
_atom_site_fract_z
_atom_site_occupancy
Ce1 0.225 0.000 0.226 1
Ce2 0.247 0.175 0.768 1
Si1 0.000 0.168 0.000 1
Te1 0.000 0.000 0.500 1
Te2 0.000 0.341 0.500 1
Te3 0.000 0.500 0.000 1
# DFT total energy: -145.22 eV per cell
# N(E_F): 76.35 states/eV/cell
# E_form (uncorrected): -6.80 eV/f.u.
# crystal system: monoclinic
# energy above the lowest structure with this stoichiometry: 0 meV/atom


Record 3
# Dy5Se4S | the Alexandria database | PBE | relaxed
data_Dy5Se4S
_cell_length_a 4.027
_cell_length_b 4.027
_cell_length_c 28.856
_cell_angle_alpha 90.00
_cell_angle_beta 90.00
_cell_angle_gamma 90.00
_symmetry_space_group_name_H-M 'I 4/m m m'
_symmetry_Int_Tables_number 139
_symmetry_space_group_name_Hall '-I 4 2'
loop_
_atom_site_label
_atom_site_fract_x
_atom_site_fract_y
_atom_site_fract_z
_atom_site_occupancy
Dy1 0.000 0.000 0.000 1
Dy2 0.000 0.000 0.205 1
Dy3 0.000 0.000 0.407 1
Se1 0.000 0.000 0.101 1
Se2 0.000 0.000 0.305 1
S1 0.000 0.000 0.500 1
# DFT total energy: -117.95 eV per cell
# N(E_F): 8.93 states/eV/cell
# E_form (uncorrected): -17.90 eV/f.u.
# crystal system: tetragonal